1.
PBE-GGA ErLu2Hg, relaxed; size of the total moment = 0.02 μB/f.u.; E_form = -0.0935 eV/atom
1.0
5.330 0.000 0.000
0.000 3.541 5.707
0.000 -3.541 5.707
Er Lu Hg
2 4 2
Cartesian
0.000 0.000 0.000 Er
2.665 0.000 3.649 Er
0.000 0.000 5.739 Lu
2.665 -1.772 6.552 Lu
2.665 0.000 9.367 Lu
2.665 1.772 6.552 Lu
0.000 -1.749 8.446 Hg
0.000 1.749 8.446 Hg

---

2.
PBE-GGA Er2Lu5Hg, relaxed; size of the total moment = 0.97 μB/f.u.; E_form = -0.0334 eV/atom
1.0
5.430 0.000 0.000
0.000 3.459 5.984
0.000 -3.459 5.984
Er Lu Hg
2 5 1
Cartesian
0.000 0.000 0.000 Er
2.715 0.000 4.079 Er
0.000 -1.745 3.038 Lu
0.000 0.000 6.031 Lu
0.000 1.745 3.038 Lu
2.715 -1.686 7.005 Lu
2.715 1.686 7.005 Lu
2.715 0.000 9.975 Hg

---

3.
PBE-GGA ErLu2Hg, relaxed; size of the total moment = 0.00 μB/f.u.; E_form = -0.1312 eV/atom
1.0
5.537 0.000 0.000
0.000 5.605 3.465
0.000 -5.605 3.465
Er Lu Hg
2 4 2
Cartesian
1.384 -4.260 3.465 Er
4.153 4.260 3.465 Er
1.384 -1.092 2.037 Lu
1.384 1.809 3.569 Lu
4.153 -1.809 3.569 Lu
4.153 1.092 2.037 Lu
1.384 -1.398 5.194 Hg
4.153 1.398 5.194 Hg

---

4.
PBE-GGA Er2LuHg5, relaxed; size of the total moment = 0.00 μB/f.u.; E_form = -0.3951 eV/atom
1.0
5.079 0.000 0.000
0.000 3.581 5.238
0.000 -3.581 5.238
Er Lu Hg
2 1 5
Cartesian
0.000 0.000 0.000 Er
2.539 0.000 3.154 Er
0.000 0.000 5.715 Lu
0.000 -1.628 2.804 Hg
0.000 1.628 2.804 Hg
2.539 -1.753 5.839 Hg
2.539 1.753 5.839 Hg
2.539 0.000 8.484 Hg

---

5.
PBE-GGA ErLuHg2, relaxed; size of the total moment = 0.00 μB/f.u.; E_form = -0.4755 eV/atom
1.0
3.638 -5.181 0.000
3.638 5.181 0.000
0.000 0.000 5.181
Er Lu Hg
2 2 4
Cartesian
3.638 3.871 3.886 Er
3.638 -3.871 1.295 Er
3.638 1.267 1.295 Lu
3.638 -1.267 3.886 Lu
1.828 1.305 3.886 Hg
1.828 -1.305 1.295 Hg
5.447 1.305 3.886 Hg
5.447 -1.305 1.295 Hg

---

6.
PBE-GGA ErLu2Hg, relaxed; size of the total moment = 0.00 μB/f.u.; E_form = -0.1651 eV/atom
1.0
3.366 -5.851 0.000
3.366 5.851 0.000
0.000 0.000 5.332
Er Lu Hg
2 4 2
Cartesian
3.366 3.834 3.999 Er
3.366 -3.834 1.333 Er
1.722 0.986 3.999 Lu
1.722 -0.986 1.333 Lu
5.011 0.986 3.999 Lu
5.011 -0.986 1.333 Lu
3.366 1.929 1.333 Hg
3.366 -1.929 3.999 Hg

---

7.
PBE-GGA ErLuHg2, relaxed; size of the total moment = 0.00 μB/f.u.; E_form = -0.2809 eV/atom
1.0
5.367 0.000 0.000
0.000 5.937 3.143
0.000 -5.937 3.143
Er Lu Hg
2 2 4
Cartesian
1.342 -4.061 3.143 Er
4.026 4.061 3.143 Er
1.342 -0.952 1.967 Lu
4.026 0.952 1.967 Lu
1.342 2.049 3.184 Hg
1.342 -0.997 5.026 Hg
4.026 -2.049 3.184 Hg
4.026 0.997 5.026 Hg

---

8.
PBE-GGA ErLuHg2, relaxed; size of the total moment = 0.00 μB/f.u.; E_form = -0.2713 eV/atom
1.0
5.134 0.000 0.000
0.000 3.348 5.802
0.000 -3.348 5.802
Er Lu Hg
2 2 4
Cartesian
0.000 0.000 0.000 Er
2.567 0.000 4.199 Er
2.567 -1.596 7.162 Lu
2.567 1.596 7.162 Lu
0.000 -1.645 3.040 Hg
0.000 1.645 3.040 Hg
0.000 0.000 6.071 Hg
2.567 0.000 10.023 Hg

---

Q: Which of these has the highest E_form?
A: Er2Lu5Hg

---

Q: The highest size of the total moment belongs to which entry?
A: Er2Lu5Hg